## Sc3TeS (GGA-PBE)

Data for a geometry-optimized Sc3TeS structure.

## Properties
- offset from the most stable computed form (meV per atom) = 51
- ΔE_f (raw) (eV/atom) = -1.1218

Cell lengths 8.7300, 8.7300, 6.4776 Å; angles 99.27, 99.27, 77.46 degrees
Fractional coordinates of all 20 atoms:
Sc 0.0304 0.1555 0.4268
Sc 0.1441 0.6693 0.0430
Sc 0.1555 0.0304 0.9268
Sc 0.3171 0.4790 0.5385
Sc 0.3307 0.8559 0.4570
Sc 0.4790 0.3171 0.0385
Sc 0.5210 0.6829 0.9615
Sc 0.6693 0.1441 0.5430
Sc 0.6829 0.5210 0.4615
Sc 0.8445 0.9696 0.0732
Sc 0.8559 0.3307 0.9570
Sc 0.9696 0.8445 0.5732
Te 0.1467 0.3525 0.8020
Te 0.3525 0.1467 0.3020
Te 0.6475 0.8533 0.6980
Te 0.8533 0.6475 0.1980
S 0.2503 0.7497 0.7500
S 0.4140 0.5860 0.2500
S 0.5860 0.4140 0.7500
S 0.7497 0.2503 0.2500

***

## Sc3TeS2 (GGA-PBE)

Data for a geometry-optimized Sc3TeS2 structure.

## Properties
- ΔE_f (raw) (eV/atom) = -1.3407

Cell lengths 7.3535, 7.3535, 7.3535 Å; angles 125.37, 88.58, 116.48 degrees
Fractional coordinates of all 12 atoms:
Sc 0.0000 0.2247 0.2247
Sc 0.0000 0.7753 0.7753
Sc 0.5000 0.0000 0.0000
Sc 0.5000 0.2247 0.7247
Sc 0.5000 0.5000 0.5000
Sc 0.5000 0.7753 0.2753
Te 0.1616 0.9116 0.2500
Te 0.8384 0.0884 0.7500
S 0.2770 0.7138 0.5632
S 0.3494 0.2862 0.0632
S 0.6506 0.7138 0.9368
S 0.7230 0.2862 0.4368

***

## ScTeS2 (GGA-PBE)

Data for a geometry-optimized ScTeS2 structure.

## Properties
- ΔE_f (raw) (eV/atom) = -1.0769

Cell lengths 8.4005, 8.4005, 8.4005 Å; angles 25.74, 25.74, 25.74 degrees
Fractional coordinates of all 4 atoms:
Sc 0.0000 0.0000 0.0000
Te 0.5000 0.5000 0.5000
S 0.3911 0.3911 0.3911
S 0.6089 0.6089 0.6089